w | Computed, not measured: a relaxed Li2NdZn3 crystal at the PBE level of DFT.

a = 4.9772 Å, b = 6.7791 Å, c = 6.7791 Å
α = 96.39°, β = 90.00°, γ = 90.00°
Fractional positions:
Li (0.5000, 0.7744, 0.2256)
Li (0.0000, 0.7744, 0.2256)
Li (0.0000, 0.2256, 0.7744)
Li (0.5000, 0.2256, 0.7744)
Nd (0.2500, 0.3025, 0.3025)
Nd (0.7500, 0.6975, 0.6975)
Zn (0.7500, 0.4517, 0.0772)
Zn (0.7500, 0.0772, 0.4517)
Zn (0.2500, 0.5483, 0.9228)
Zn (0.7500, 0.0638, 0.0638)
Zn (0.2500, 0.9362, 0.9362)
Zn (0.2500, 0.9228, 0.5483)

Computed properties:
M_tot in μB per formula unit: 0.0
Space group: Cmcm (63)
D(E_F) in states/eV/atom: 0.55

***

x | Computed, not measured: a relaxed Li2NdZn3 crystal at the PBE level of DFT.

a = 5.3217 Å, b = 5.3217 Å, c = 8.8048 Å
α = 90.00°, β = 90.00°, γ = 120.00°
Fractional positions:
Li (0.6667, 0.3333, 0.5000)
Li (0.3333, 0.6667, 0.0000)
Li (0.3333, 0.6667, 0.5000)
Li (0.6667, 0.3333, 0.0000)
Nd (0.0000, 0.0000, 0.5000)
Nd (0.0000, 0.0000, 0.0000)
Zn (0.5001, 0.0000, 0.2500)
Zn (0.0000, 0.4999, 0.7500)
Zn (0.4999, 0.0000, 0.7500)
Zn (0.4999, 0.4999, 0.2500)
Zn (0.0000, 0.5001, 0.2500)
Zn (0.5001, 0.5001, 0.7500)

Computed properties:
M_tot in μB per formula unit: 0.0
Space group: P6/mmm (191)
D(E_F) in states/eV/atom: 0.50

***

It is x that is most stable; the runner-up trails by 23 meV per atom.

***

w | Computed, not measured: a relaxed LiNi4 crystal at the PBE level of DFT.

a = 4.2937 Å, b = 4.2937 Å, c = 4.2937 Å
α = 99.89°, β = 99.89°, γ = 131.03°
Fractional positions:
Li (0.0000, 0.0000, 0.0000)
Ni (0.8028, 0.4000, 0.2029)
Ni (0.4000, 0.1972, 0.5972)
Ni (0.1972, 0.6000, 0.7971)
Ni (0.6000, 0.8028, 0.4028)

Computed properties:
M_tot in μB per formula unit: 2.0
Space group: I4/m (87)
D(E_F) in states/eV/atom: 1.21

***

x | Computed, not measured: a relaxed LiNi4 crystal at the PBE level of DFT.

a = 4.4982 Å, b = 4.7407 Å, c = 6.7090 Å
α = 101.52°, β = 99.99°, γ = 117.26°
Fractional positions:
Li (0.8153, 0.0653, 0.1305)
Li (0.1847, 0.9347, 0.8695)
Ni (0.7284, 0.9750, 0.4599)
Ni (0.2315, 0.4848, 0.4599)
Ni (0.4737, 0.5362, 0.8271)
Ni (0.8534, 0.2909, 0.8271)
Ni (0.5263, 0.4638, 0.1729)
Ni (0.1466, 0.7091, 0.1729)
Ni (0.7685, 0.5152, 0.5401)
Ni (0.2716, 0.0250, 0.5401)

Computed properties:
M_tot in μB per formula unit: 2.1
Space group: C2/c (15)
D(E_F) in states/eV/atom: 1.40

***

It is w that is most stable; the runner-up trails by 168 meV per atom.

***

w | Computed, not measured: a relaxed Li4Ni crystal at the PBE level of DFT.

a = 4.9532 Å, b = 4.9532 Å, c = 4.9532 Å
α = 109.47°, β = 109.47°, γ = 109.47°
Fractional positions:
Li (0.0000, 0.5000, 0.0000)
Li (0.0000, 0.0000, 0.5000)
Li (0.5000, 0.5000, 0.5000)
Li (0.5000, 0.0000, 0.0000)
Ni (0.0000, 0.0000, 0.0000)

Computed properties:
M_tot in μB per formula unit: 0.0
Space group: Im-3m (229)
D(E_F) in states/eV/atom: 0.31

***

x | Computed, not measured: a relaxed Li4Ni crystal at the PBE level of DFT.

a = 4.6251 Å, b = 4.6251 Å, c = 4.6251 Å
α = 90.00°, β = 90.00°, γ = 90.00°
Fractional positions:
Ni (0.5000, 0.5000, 0.5000)
Li (0.0000, 0.0000, 0.0000)
Li (0.5000, 0.0000, 0.5000)
Li (0.0000, 0.5000, 0.5000)
Li (0.5000, 0.5000, 0.0000)

Computed properties:
M_tot in μB per formula unit: 0.0
Space group: Pm-3m (221)
D(E_F) in states/eV/atom: 0.51

***

It is w that is most stable; the runner-up trails by 45 meV per atom.

***

w | Computed, not measured: a relaxed Li4Ni crystal at the PBE level of DFT.

a = 4.7261 Å, b = 4.7261 Å, c = 4.7261 Å
α = 100.39°, β = 100.39°, γ = 129.74°
Fractional positions:
Li (0.7877, 0.3912, 0.1789)
Li (0.3912, 0.2123, 0.6035)
Li (0.2123, 0.6088, 0.8211)
Li (0.6088, 0.7877, 0.3965)
Ni (0.0000, 0.0000, 0.0000)

Computed properties:
M_tot in μB per formula unit: 0.0
Space group: I4/m (87)
D(E_F) in states/eV/atom: 0.38

***

x | Computed, not measured: a relaxed Li4Ni crystal at the PBE level of DFT.

a = 4.9188 Å, b = 5.8207 Å, c = 5.8204 Å
α = 90.00°, β = 90.00°, γ = 90.00°
Fractional positions:
Li (0.5000, 0.6762, 0.1624)
Li (0.0000, 0.6762, 0.8376)
Li (0.0000, 0.8376, 0.3238)
Li (0.5000, 0.8376, 0.6762)
Li (0.0000, 0.1624, 0.6762)
Li (0.5000, 0.1624, 0.3238)
Li (0.0000, 0.3238, 0.1624)
Li (0.5000, 0.3238, 0.8376)
Ni (0.7500, 0.5000, 0.5000)
Ni (0.2500, 0.5000, 0.5000)

Computed properties:
M_tot in μB per formula unit: 0.1
Space group: P4/mcc (124)
D(E_F) in states/eV/atom: 0.81

***

y | Computed, not measured: a relaxed Li4Ni crystal at the PBE level of DFT.

a = 6.6977 Å, b = 6.6977 Å, c = 6.6977 Å
α = 149.87°, β = 149.87°, γ = 43.13°
Fractional positions:
Li (0.7500, 0.2500, 0.5000)
Li (0.2500, 0.7500, 0.5000)
Li (0.5880, 0.5880, 0.0000)
Li (0.4120, 0.4120, 0.0000)
Ni (0.0000, 0.0000, 0.0000)

Computed properties:
M_tot in μB per formula unit: 0.0
Space group: I4/mmm (139)
D(E_F) in states/eV/atom: 0.53

***

It is x that is most stable; the runner-up trails by 26 meV per atom.

***

w | Computed, not measured: a relaxed LiNi8 crystal at the PBE level of DFT.

a = 2.5509 Å, b = 6.3518 Å, c = 6.3518 Å
α = 87.69°, β = 78.42°, γ = 78.42°
Fractional positions:
Li (0.0000, 0.0000, 0.0000)
Ni (0.6672, 0.0000, 0.6656)
Ni (0.3328, 0.0000, 0.3344)
Ni (0.3323, 0.6677, 0.6677)
Ni (0.6672, 0.6656, 0.0000)
Ni (0.0000, 0.6677, 0.3323)
Ni (0.3328, 0.3344, 0.0000)
Ni (0.6677, 0.3323, 0.3323)
Ni (0.0000, 0.3323, 0.6677)

Computed properties:
M_tot in μB per formula unit: 4.1
Space group: I4/mmm (139)
D(E_F) in states/eV/atom: 1.77

***

x | Computed, not measured: a relaxed LiNi8 crystal at the PBE level of DFT.

a = 5.5536 Å, b = 5.5536 Å, c = 5.5536 Å
α = 142.95°, β = 95.79°, γ = 95.79°
Fractional positions:
Li (0.0000, 0.0000, 0.0000)
Ni (0.0000, 0.6686, 0.3314)
Ni (0.0000, 0.3314, 0.6686)
Ni (0.6667, 0.0000, 0.6667)
Ni (0.6627, 0.3314, 0.3314)
Ni (0.6667, 0.6667, 0.0000)
Ni (0.3373, 0.6686, 0.6686)
Ni (0.3333, 0.0000, 0.3333)
Ni (0.3333, 0.3333, 0.0000)

Computed properties:
M_tot in μB per formula unit: 4.3
Space group: I4/mmm (139)
D(E_F) in states/eV/atom: 1.71

***

It is x that is most stable; the runner-up trails by 65 meV per atom.